Entry 1:
Here is a geometry-optimized CdCoBr2 structure from Alexandria via LeMat-Bulk. Energies are from PBE. Values from VASP.

Properties
Total DFT energy (no corrections)   -11.9 eV per cell
Formation energy from raw total energies   -0.50 eV per formula unit

Quantum ESPRESSO input file:
```
&SYSTEM
  ibrav = 0, nat = 4, ntyp = 3
/
ATOMIC_SPECIES
Co 58.93 Co.upf
Br 79.90 Br.upf
Cd 112.41 Cd.upf
ATOMIC_POSITIONS crystal
Co 0.5000 0.9782 0.6688
Br 0.0000 0.8626 0.9001
Cd 0.0000 0.5222 0.5804
Br 0.5000 0.1369 0.3507
CELL_PARAMETERS angstrom
-1.2304 -2.7682 1.7035
3.0126 -2.2760 -1.5226
5.7434 0.5749 5.0827
```

Entry 2:
Here is a geometry-optimized CoBi2Os structure from Alexandria via LeMat-Bulk. Energies are from PBE. Values from VASP.

Properties
Calculated formation energy   786 meV per atom
Total DFT energy (no corrections)   -23.0 eV per cell

Quantum ESPRESSO input file:
```
&SYSTEM
  ibrav = 0, nat = 4, ntyp = 3
/
ATOMIC_SPECIES
Bi 208.98 Bi.upf
Co 58.93 Co.upf
Os 190.23 Os.upf
ATOMIC_POSITIONS crystal
Bi 0.2500 0.2500 0.2500
Co 0.0000 0.0000 0.0000
Os 0.5000 0.5000 0.5000
Bi 0.7500 0.7500 0.7500
CELL_PARAMETERS angstrom
3.1079 -1.7553 -3.2093
1.8612 -4.3822 0.6097
-1.3162 -3.5913 -2.8999
```

Entry 3:
Here is a geometry-optimized V2CrTcN structure from Alexandria via LeMat-Bulk. Energies are from PBE. Values from VASP.

Properties
Total DFT energy (no corrections)   -48.5 eV per cell
Formation energy from raw total energies   -1.95 eV per formula unit

Quantum ESPRESSO input file:
```
&SYSTEM
  ibrav = 0, nat = 5, ntyp = 4
/
ATOMIC_SPECIES
Cr 52.00 Cr.upf
V 50.94 V.upf
Tc 98.00 Tc.upf
N 14.01 N.upf
ATOMIC_POSITIONS crystal
Cr 0.0000 0.0000 0.5000
V 0.0000 0.5000 0.0000
V 0.5000 0.0000 0.0000
Tc 0.5000 0.5000 0.5000
N 0.0000 0.0000 0.0000
CELL_PARAMETERS angstrom
3.9447 0.0000 0.0000
0.0000 3.9447 0.0000
0.0000 0.0000 3.7943
```

Entry 4:
Here is a geometry-optimized SrSiTe2 structure from Alexandria via LeMat-Bulk. Energies are from PBE. Values from VASP.

Properties
Total DFT energy (no corrections)   -16.2 eV per cell
Formation energy from raw total energies   -2.86 eV per formula unit

Quantum ESPRESSO input file:
```
&SYSTEM
  ibrav = 0, nat = 4, ntyp = 3
/
ATOMIC_SPECIES
Sr 87.62 Sr.upf
Te 127.60 Te.upf
Si 28.09 Si.upf
ATOMIC_POSITIONS crystal
Sr 0.2862 0.2862 0.1068
Te 0.0006 0.0006 0.1941
Si 0.5025 0.5025 0.5810
Te 0.7107 0.7107 0.6181
CELL_PARAMETERS angstrom
6.5771 0.0076 0.0055
5.1681 4.0680 0.0055
0.1858 0.0645 4.6626
```

Entry 5:
Here is a geometry-optimized Cs2K2Mg structure from Alexandria via LeMat-Bulk. Energies are from PBE. Values from VASP.

Properties
Calculated formation energy   218 meV per atom
Total DFT energy (no corrections)   -4.4 eV per cell

Quantum ESPRESSO input file:
```
&SYSTEM
  ibrav = 0, nat = 5, ntyp = 3
/
ATOMIC_SPECIES
K 39.10 K.upf
Cs 132.91 Cs.upf
Mg 24.30 Mg.upf
ATOMIC_POSITIONS crystal
K 0.2500 0.7500 0.5000
K 0.7500 0.2500 0.5000
Cs 0.5871 0.5871 0.8257
Cs 0.4129 0.4129 0.1743
Mg 0.0000 0.0000 0.0000
CELL_PARAMETERS angstrom
-3.0826 -3.9408 2.4805
3.8736 -3.8211 -1.2567
6.3843 -1.5010 11.8352
```

Entry 6:
Here is a geometry-optimized Cs3SmHo2S6 structure from Alexandria via LeMat-Bulk. Energies are from PBE. Values from VASP.

Properties
Total DFT energy (no corrections)   -63.1 eV per cell
Formation energy from raw total energies   -21.92 eV per formula unit

Quantum ESPRESSO input file:
```
&SYSTEM
  ibrav = 0, nat = 12, ntyp = 4
/
ATOMIC_SPECIES
Ho 164.93 Ho.upf
S 32.06 S.upf
Cs 132.91 Cs.upf
Sm 150.36 Sm.upf
ATOMIC_POSITIONS crystal
Ho 0.6667 0.3333 0.0000
S 0.2791 0.2791 0.8181
Ho 0.3333 0.6667 0.0000
Cs 0.8342 0.1658 0.5000
Sm 0.0000 0.0000 0.0000
S 0.0607 0.4005 0.1823
S 0.7209 0.7209 0.1819
Cs 0.1658 0.8342 0.5000
S 0.4005 0.0607 0.1823
S 0.9393 0.5995 0.8177
S 0.5995 0.9393 0.8177
Cs 0.5000 0.5000 0.5000
CELL_PARAMETERS angstrom
7.1441 -0.0010 0.0004
-3.5712 6.1874 0.0004
-1.1913 -2.0627 8.0696
```

Entry 7:
Here is a geometry-optimized TmHfCoPd structure from Alexandria via LeMat-Bulk. Energies are from PBE. Values from VASP.

Properties
Calculated formation energy   -481 meV per atom
Total DFT energy (no corrections)   -28.6 eV per cell

Quantum ESPRESSO input file:
```
&SYSTEM
  ibrav = 0, nat = 4, ntyp = 4
/
ATOMIC_SPECIES
Pd 106.42 Pd.upf
Tm 168.93 Tm.upf
Co 58.93 Co.upf
Hf 178.49 Hf.upf
ATOMIC_POSITIONS crystal
Pd 0.0000 0.0000 0.0000
Tm 0.2500 0.2500 0.2500
Co 0.5000 0.5000 0.5000
Hf 0.7500 0.7500 0.7500
CELL_PARAMETERS angstrom
-0.2571 -3.4140 3.1949
3.0854 -0.1504 3.5196
-1.3797 0.9787 4.3667
```

Entry 8:
Here is a geometry-optimized Pr2CuPb structure from Alexandria via LeMat-Bulk. Energies are from PBE. Values from VASP.

Properties
Calculated formation energy   -310 meV per atom
Total DFT energy (no corrections)   -18.6 eV per cell

Quantum ESPRESSO input file:
```
&SYSTEM
  ibrav = 0, nat = 4, ntyp = 3
/
ATOMIC_SPECIES
Pr 140.91 Pr.upf
Cu 63.55 Cu.upf
Pb 207.20 Pb.upf
ATOMIC_POSITIONS crystal
Pr 0.0000 0.0000 0.7809
Cu 0.5000 0.5000 0.0000
Pr 0.0000 0.0000 0.2191
Pb 0.5000 0.5000 0.5000
CELL_PARAMETERS angstrom
-3.0817 0.5955 -1.8173
-1.9096 -1.1418 2.8642
-0.2336 7.7754 2.9439
```

Entry 9:
Here is a geometry-optimized AgPd3Au2 structure from Alexandria via LeMat-Bulk. Energies are from PBE. Values from VASP.

Properties
Calculated formation energy   108 meV per atom
Total DFT energy (no corrections)   -48.7 eV per cell

Quantum ESPRESSO input file:
```
&SYSTEM
  ibrav = 0, nat = 12, ntyp = 3
/
ATOMIC_SPECIES
Au 196.97 Au.upf
Ag 107.87 Ag.upf
Pd 106.42 Pd.upf
ATOMIC_POSITIONS crystal
Au 0.0000 0.0000 0.0000
Ag 0.3333 0.6667 0.4311
Pd 0.8291 0.6582 0.2491
Pd 0.1709 0.8291 0.7509
Au 0.6667 0.3333 0.9304
Pd 0.8291 0.1709 0.2491
Pd 0.1709 0.3418 0.7509
Pd 0.6582 0.8291 0.7509
Pd 0.3418 0.1709 0.2491
Au 0.3333 0.6667 0.0696
Ag 0.6667 0.3333 0.5689
Au 0.0000 0.0000 0.5000
CELL_PARAMETERS angstrom
-4.3312 2.1828 -2.1104
-0.3637 -4.5556 2.6631
-1.3660 4.4207 7.3759
```

Entry 10:
Here is a geometry-optimized UFeOs structure from Alexandria via LeMat-Bulk. Energies are from PBE. Values from VASP.

Properties
Calculated formation energy   198 meV per atom
Total DFT energy (no corrections)   -30.4 eV per cell

Quantum ESPRESSO input file:
```
&SYSTEM
  ibrav = 0, nat = 3, ntyp = 3
/
ATOMIC_SPECIES
Fe 55.84 Fe.upf
Os 190.23 Os.upf
U 238.03 U.upf
ATOMIC_POSITIONS crystal
Fe 0.2931 0.6667 0.3333
Os 0.6900 0.3333 0.6667
U 0.0169 0.0000 0.0000
CELL_PARAMETERS angstrom
-2.5584 1.0793 0.1120
0.1539 -0.0999 4.4793
1.4331 3.6266 -2.2118
```

Entry 11:
Here is a geometry-optimized TbNd2Sm6Mg structure from Alexandria via LeMat-Bulk. Energies are from PBE. Values from VASP.

Properties
Calculated formation energy   112 meV per atom
Total DFT energy (no corrections)   -85.9 eV per cell

Quantum ESPRESSO input file:
```
&SYSTEM
  ibrav = 0, nat = 20, ntyp = 4
/
ATOMIC_SPECIES
Nd 144.24 Nd.upf
Sm 150.36 Sm.upf
Mg 24.30 Mg.upf
Tb 158.93 Tb.upf
ATOMIC_POSITIONS crystal
Nd 0.5476 0.2071 0.3092
Sm 0.1964 0.5712 0.0031
Mg 0.2500 0.4111 0.5889
Nd 0.0476 0.3092 0.2071
Sm 0.9472 0.8698 0.2350
Sm 0.8036 0.4288 0.9969
Sm 0.3036 0.9969 0.4288
Sm 0.6114 0.4978 0.7121
Sm 0.5528 0.7650 0.1302
Tb 0.2500 0.9802 0.0198
Sm 0.6964 0.0031 0.5712
Nd 0.4524 0.7929 0.6908
Tb 0.7500 0.0198 0.9802
Sm 0.4472 0.2350 0.8698
Sm 0.8886 0.2879 0.5022
Sm 0.1114 0.7121 0.4978
Mg 0.7500 0.5889 0.4111
Nd 0.9524 0.6908 0.7929
Sm 0.3886 0.5022 0.2879
Sm 0.0528 0.1302 0.7650
CELL_PARAMETERS angstrom
9.0538 -2.0218 -2.0981
0.8999 8.6115 -1.9982
0.8999 -2.3160 8.5315
```

Entry 12:
Here is a geometry-optimized Sr2CdHg structure from Alexandria via LeMat-Bulk. Energies are from PBE. Values from VASP.

Properties
Calculated formation energy   -297 meV per atom
Total DFT energy (no corrections)   -5.8 eV per cell

Quantum ESPRESSO input file:
```
&SYSTEM
  ibrav = 0, nat = 4, ntyp = 3
/
ATOMIC_SPECIES
Cd 112.41 Cd.upf
Sr 87.62 Sr.upf
Hg 200.59 Hg.upf
ATOMIC_POSITIONS crystal
Cd 0.7500 0.7500 0.7500
Sr 0.9980 0.9980 0.0061
Sr 0.5020 0.5020 0.4939
Hg 0.2500 0.2500 0.2500
CELL_PARAMETERS angstrom
-0.7333 -4.8346 -0.6310
1.5421 -3.2803 3.3423
-6.2400 -2.0308 4.3679
```